1.
Compound: SmPOsO
Source: Alexandria via LeMat-Bulk
Functional: GGA-PBE
Structure: relaxed

Unit cell a=4.041 b=4.041 c=8.141 alpha=90.00 beta=90.00 gamma=90.00
Sites, in units of the cell vectors:
Sm: 0.250 0.250 0.139
Sm: 0.750 0.750 0.861
P: 0.250 0.250 0.648
P: 0.750 0.750 0.352
Os: 0.250 0.750 0.500
Os: 0.750 0.250 0.500
O: 0.250 0.750 0.000
O: 0.750 0.250 0.000

Calculated values
Its uncorrected energy is -0.310 Ha/atom. The value obtained for the formation energy from raw total energies is -1852 meV per atom. The calculation puts the volume at 16.6 A^3/atom. The crystal system is tetragonal.

***

2.
Compound: SrP2OsO8
Source: Alexandria via LeMat-Bulk
Functional: GGA-PBE
Structure: relaxed

Unit cell a=8.276 b=8.276 c=8.276 alpha=34.54 beta=34.54 gamma=34.54
Sites, in units of the cell vectors:
Sr: 0.000 0.000 0.000
P: 0.245 0.245 0.245
P: 0.755 0.755 0.755
Os: 0.500 0.500 0.500
O: 0.104 0.518 0.707
O: 0.293 0.482 0.896
O: 0.310 0.310 0.310
O: 0.482 0.896 0.293
O: 0.518 0.707 0.104
O: 0.690 0.690 0.690
O: 0.707 0.104 0.518
O: 0.896 0.293 0.482

Calculated values
Its uncorrected energy is -0.264 Ha/atom. The value obtained for the formation energy from raw total energies is -1910 meV per atom. The calculation puts the volume at 13.5 A^3/atom. The crystal system is trigonal.